DFT (SCAN) results for a crystal of Y2MgRe relaxed with PBEsol.

The value obtained for the density is 7.7 g cm⁻³. For the calculated volume, the calculation gives 21.00 Å³/atom. The calculation puts the formation energy from the elements at 1.42 eV per formula unit.

CIF file:
```
data_Y2MgRe
_cell_length_a 4.9160
_cell_length_b 4.9160
_cell_length_c 4.9160
_cell_angle_alpha 60.00
_cell_angle_beta 60.00
_cell_angle_gamma 60.00
_symmetry_space_group_name_H-M 'P 1'
_symmetry_Int_Tables_number 1
loop_
_symmetry_equiv_pos_as_xyz
'x,y,z'
loop_
_atom_site_label
_atom_site_fract_x
_atom_site_fract_y
_atom_site_fract_z
Re1 0.2500 0.2500 0.2500
Mg1 0.5000 0.5000 0.5000
Y1 0.0000 0.0000 0.0000
Y2 0.7500 0.7500 0.7500
```

DFT (SCAN) results for a crystal of YMg2Re relaxed with PBEsol.

The value obtained for the density is 6.9 g cm⁻³. For the calculated volume, the calculation gives 19.54 Å³/atom. The distance to the lowest polymorph of the same formula is 0.0 meV/atom. The calculation puts the formation energy from the elements at 1.06 eV per formula unit.

CIF file:
```
data_YMg2Re
_cell_length_a 2.8724
_cell_length_b 4.8643
_cell_length_c 5.7555
_cell_angle_alpha 90.00
_cell_angle_beta 103.62
_cell_angle_gamma 90.00
_symmetry_space_group_name_H-M 'P 1'
_symmetry_Int_Tables_number 1
loop_
_symmetry_equiv_pos_as_xyz
'x,y,z'
loop_
_atom_site_label
_atom_site_fract_x
_atom_site_fract_y
_atom_site_fract_z
Mg1 0.3054 0.0000 0.2198
Mg2 0.6946 0.0000 0.7802
Re1 0.5000 0.5000 0.0000
Y1 0.0000 0.5000 0.5000
```

formation energy from the elements of number 2 (YMg2Re)? 1.06 eV per formula unit